[1]
Below is crystalline Sm12Er5Tm2 at its relaxed geometry, with properties calculated at the GGA-PBE level.

Magnetic moment (μB/atom): 0.000
DFT formation energy (eV per formula unit): 2.69

a b c (Å): 11.5968 11.5968 8.6709
angles (deg): 109.07 109.07 35.36
Closest atoms and distances in Å follow each position.
Sites, in units of the cell vectors:
Sm 0.8563 0.8563 0.9353  6 Sm 3.50-3.67, 2 Tm 3.53, 3 Er 3.53-3.64
Sm 0.4536 0.9472 0.7940  7 Sm 3.45-3.67, 4 Er 3.51-3.62
Sm 0.9472 0.4536 0.7940  7 Sm 3.45-3.67, 4 Er 3.51-3.62
Sm 0.3622 0.8502 0.3845  1 Tm 3.35, 4 Er 3.37-3.48, 5 Sm 3.44-3.67
Sm 0.8502 0.3622 0.3845  1 Tm 3.35, 4 Er 3.37-3.48, 5 Sm 3.44-3.67
Sm 0.5482 0.5482 0.6939  5 Sm 3.31-3.67, 1 Er 3.44, 2 Tm 3.61
Sm 0.4518 0.4518 0.3061  5 Sm 3.31-3.67, 1 Er 3.44, 2 Tm 3.61
Sm 0.6378 0.1498 0.6155  1 Tm 3.35, 4 Er 3.37-3.48, 5 Sm 3.44-3.67
Sm 0.1498 0.6378 0.6155  1 Tm 3.35, 4 Er 3.37-3.48, 5 Sm 3.44-3.67
Sm 0.5464 0.0528 0.2060  7 Sm 3.45-3.67, 4 Er 3.51-3.62
Sm 0.0528 0.5464 0.2060  7 Sm 3.45-3.67, 4 Er 3.51-3.62
Sm 0.1437 0.1437 0.0647  6 Sm 3.50-3.67, 2 Tm 3.53, 3 Er 3.53-3.64
Er 0.7507 0.7507 0.5072  9 Sm 3.46-3.64, 3 Er 3.50-3.52
Er 0.6500 0.6500 0.0958  9 Sm 3.44-3.62, 1 Er 3.50, 2 Tm 3.57
Er 0.0000 0.0000 0.5000  4 Sm 3.37
Er 0.3500 0.3500 0.9042  9 Sm 3.44-3.62, 1 Er 3.50, 2 Tm 3.57
Er 0.2493 0.2493 0.4928  9 Sm 3.46-3.64, 3 Er 3.50-3.52
Tm 0.7427 0.2573 0.0000  6 Sm 3.35-3.61, 2 Tm 3.42-3.63, 2 Er 3.57
Tm 0.2573 0.7427 0.0000  6 Sm 3.35-3.61, 2 Tm 3.42-3.63, 2 Er 3.57

[2]
Below is crystalline UOs2 at its relaxed geometry, with properties calculated at the GGA-PBE level.

Magnetic moment (μB/atom): 0.257
DFT formation energy (eV per formula unit): -0.36

a b c (Å): 5.4549 5.4549 8.2102
angles (deg): 90.00 90.00 120.00
Closest atoms and distances in Å follow each position.
Sites, in units of the cell vectors:
Os 0.8275 0.1725 0.2500  6 Os 2.62-2.82
Os 0.8275 0.6550 0.2500  6 Os 2.62-2.82
Os 0.6550 0.8275 0.7500  6 Os 2.62-2.82
Os 0.1725 0.8275 0.7500  6 Os 2.62-2.82
Os 0.3450 0.1725 0.2500  6 Os 2.62-2.82
Os 0.0000 0.0000 0.0000  6 Os 2.62
Os 0.1725 0.3450 0.7500  6 Os 2.62-2.82
Os 0.0000 0.0000 0.5000  6 Os 2.62
U 0.6667 0.3333 0.5881  1 U 2.66
U 0.3333 0.6667 0.4119  1 U 2.66
U 0.3333 0.6667 0.0881  1 U 2.66
U 0.6667 0.3333 0.9119  1 U 2.66

[3]
Below is crystalline KCd2Si2 at its relaxed geometry, with properties calculated at the GGA-PBE level.

Magnetic moment (μB/atom): 0.000
Formation energy without anion corrections (eV/atom): 0.286

a b c (Å): 8.6904 8.6904 3.0183
angles (deg): 90.00 90.00 90.00
Closest atoms and distances in Å follow each position.
Sites, in units of the cell vectors:
K 0.0000 0.0000 0.0000  2 K 3.02, 4 Si 3.31
K 0.5000 0.5000 0.0000  2 K 3.02, 4 Si 3.31
Si 0.3504 0.8504 0.0000  6 Cd 2.94-2.98, 2 Si 3.02
Si 0.8504 0.6496 0.0000  6 Cd 2.94-2.98, 2 Si 3.02
Si 0.6496 0.1496 0.0000  6 Cd 2.94-2.98, 2 Si 3.02
Si 0.1496 0.3504 0.0000  6 Cd 2.94-2.98, 2 Si 3.02
Cd 0.1410 0.6410 0.5000  6 Si 2.94-2.98, 2 Cd 3.02
Cd 0.6410 0.8590 0.5000  6 Si 2.94-2.98, 2 Cd 3.02
Cd 0.8590 0.3590 0.5000  6 Si 2.94-2.98, 2 Cd 3.02
Cd 0.3590 0.1410 0.5000  6 Si 2.94-2.98, 2 Cd 3.02

[4]
Below is crystalline Pm2CdAs3Pt4 at its relaxed geometry, with properties calculated at the GGA-PBE level.

Magnetic moment (μB/atom): 0.000
DFT formation energy (eV per formula unit): -7.89

a b c (Å): 4.2964 4.2964 10.8917
angles (deg): 90.00 90.00 90.00
Closest atoms and distances in Å follow each position.
Sites, in units of the cell vectors:
Pm 0.5000 0.0000 0.2307  4 As 3.23, 8 Pt 3.30-3.31
Pm 0.0000 0.5000 0.7693  4 As 3.23, 8 Pt 3.30-3.31
Cd 0.5000 0.5000 0.5000  4 Pt 2.70
As 0.0000 0.0000 0.5000  4 Pt 2.70
As 0.5000 0.0000 0.8703  5 Pt 2.40-2.57
As 0.0000 0.5000 0.1297  5 Pt 2.40-2.57
Pt 0.5000 0.5000 0.0000  4 As 2.57
Pt 0.0000 0.0000 0.0000  4 As 2.57
Pt 0.5000 0.0000 0.6500  1 As 2.40
Pt 0.0000 0.5000 0.3500  1 As 2.40

[5]
Below is crystalline NpZnBi2 at its relaxed geometry, with properties calculated at the GGA-PBE level.

Magnetic moment (μB/atom): 1.040
DFT formation energy (eV per formula unit): 1.06

a b c (Å): 5.0278 5.0278 5.7843
angles (deg): 64.24 64.24 60.00
Closest atoms and distances in Å follow each position.
Sites, in units of the cell vectors:
Np 0.5000 0.5000 0.5000  8 Bi 3.27-3.50
Zn 0.0000 0.0000 0.0000  6 Bi 3.07
Bi 0.2666 0.2666 0.2002  3 Zn 3.07, 3 Np 3.27
Bi 0.7334 0.7334 0.7998  3 Zn 3.07, 3 Np 3.27

Number 1: calculated volume 633.9 Å³ per cell. Number 2: calculated volume 211.6 Å³ per cell. Number 3: calculated volume 228.0 Å³ per cell. Number 4: calculated volume 201.1 Å³ per cell. Number 5: calculated volume 109.5 Å³ per cell.